[1]
Ca2Bi10O17 | GGA-PBE | relaxed

Calculated values
Formation energy from raw total energies ... -1.401 eV/atom
Spin magnetization ... 0.000 μB/atom
Crystal system ... monoclinic
Relative energy among the computed polymorphs ... 0.013 eV per atom

Cell lengths 8.0054, 8.0054, 9.9815 Å; angles 89.04, 89.04, 58.84 degrees
Closest atoms and distances in Å follow each position.
Positions (direct):
Ca1 0.0068 0.0068 0.9879  7 O 2.44-2.61
Ca2 0.5062 0.5062 0.9751  7 O 2.43-2.69
Bi1 0.8456 0.8456 0.6963  4 O 2.10-2.22
Bi2 0.3373 0.3373 0.6849  5 O 2.16-2.40
Bi3 0.6777 0.1703 0.3037  2 O 2.06-2.26
Bi4 0.1703 0.6777 0.3037  2 O 2.06-2.26
Bi5 0.0039 0.4925 0.9859  3 O 2.24-2.50
Bi6 0.4925 0.0039 0.9859  3 O 2.24-2.50
Bi7 0.8669 0.3323 0.6834  4 O 2.14-2.38
Bi8 0.3323 0.8669 0.6834  4 O 2.14-2.38
Bi9 0.6669 0.6669 0.3108  4 O 2.08-2.32
Bi10 0.1764 0.1764 0.3244  4 O 2.16-2.41
O1 0.8398 0.8398 0.9070  1 Bi 2.10
O2 0.3216 0.3216 0.9004  3 Bi 2.16-2.33
O3 0.3489 0.3489 0.3266  3 Bi 2.26-2.41
O4 0.0030 0.5271 0.7347  3 Bi 2.21-2.38
O5 0.5271 0.0030 0.7347  3 Bi 2.21-2.38
O6 0.6823 0.1923 0.0979  1 Bi 2.06
O7 0.1923 0.6823 0.0979  1 Bi 2.06
O8 0.1761 0.1761 0.6046  3 Bi 2.25-2.40
O9 0.8287 0.8287 0.3093  3 Bi 2.26-2.35
O10 0.8670 0.3373 0.8973  2 Bi 2.14-2.24
O11 0.3373 0.8670 0.8973  2 Bi 2.14-2.24
O12 0.4971 0.4971 0.7321  1 Bi 2.29, 1 Ca 2.43
O13 0.6568 0.6568 0.1026  1 Bi 2.08
O14 0.1714 0.1714 0.1083  1 Bi 2.16
O15 0.0027 0.0027 0.7290  3 Bi 2.22-2.31
O16 0.3307 0.8458 0.3390  3 Bi 2.27-2.33
O17 0.8458 0.3307 0.3390  3 Bi 2.27-2.33

---

[2]
CuMoPd2 | GGA-PBE | relaxed

Calculated values
ΔE_f ... -0.088 eV/atom
Spin magnetization ... 0.000 μB/atom
Crystal system ... tetragonal
Relative energy among the computed polymorphs ... 0.000 eV per atom

Cell lengths 2.7757, 2.7757, 7.5612 Å; angles 90.00, 90.00, 90.00 degrees
Closest atoms and distances in Å follow each position.
Positions (direct):
Mo1 0.5000 0.5000 0.5000  8 Pd 2.77, 4 Mo 2.78
Cu1 0.5000 0.5000 0.0000  8 Pd 2.68, 4 Cu 2.78
Pd1 0.0000 0.0000 0.7585  4 Cu 2.68, 4 Mo 2.77, 4 Pd 2.78
Pd2 0.0000 0.0000 0.2415  4 Cu 2.68, 4 Mo 2.77, 4 Pd 2.78

---

[3]
La4ThTe5 | GGA-PBE | relaxed

Calculated values
Formation energy from raw total energies ... -1.470 eV/atom
Spin magnetization ... 0.000 μB/atom
Crystal system ... tetragonal

Cell lengths 4.5542, 4.5542, 16.4471 Å; angles 97.96, 97.96, 90.00 degrees
Closest atoms and distances in Å follow each position.
Positions (direct):
La1 0.4009 0.4009 0.8019  6 Te 3.20-3.26
La2 0.8009 0.8009 0.6017  6 Te 3.22-3.25
La3 0.1991 0.1991 0.3983  6 Te 3.22-3.25
La4 0.5991 0.5991 0.1981  6 Te 3.20-3.26
Th1 0.0000 0.0000 0.0000  6 Te 3.19-3.22
Te1 0.0990 0.0990 0.1981  1 Th 3.19, 5 La 3.22-3.23
Te2 0.5000 0.5000 0.0000  2 La 3.20, 4 Th 3.22
Te3 0.9010 0.9010 0.8019  1 Th 3.19, 5 La 3.22-3.23
Te4 0.3000 0.3000 0.5999  6 La 3.22-3.26
Te5 0.7000 0.7000 0.4001  6 La 3.22-3.26

---

[4]
La2ZrZnFe | GGA-PBE | relaxed

Calculated values
ΔE_f ... 0.781 eV/atom
Spin magnetization ... 0.357 μB/atom
Crystal system ... tetragonal

Cell lengths 5.6359, 4.3944, 5.6359 Å; angles 90.00, 90.00, 90.00 degrees
Closest atoms and distances in Å follow each position.
Positions (direct):
Zn1 0.0000 0.0000 0.0000  2 Fe 2.20
Fe1 0.0000 0.5000 0.0000  2 Zn 2.20
Zr1 0.5000 0.5000 0.5000  8 La 3.57, 4 Fe 3.99
La1 0.0000 0.0000 0.5000  2 Zn 2.82
La2 0.5000 0.0000 0.0000  2 Zn 2.82

---

[5]
Tb4In2Ga | GGA-PBE | relaxed

Calculated values
ΔE_f ... -0.212 eV/atom
Spin magnetization ... 0.001 μB/atom
Crystal system ... monoclinic

Cell lengths 3.5641, 8.5706, 8.0519 Å; angles 124.32, 90.00, 90.00 degrees
Closest atoms and distances in Å follow each position.
Positions (direct):
Tb1 0.5000 0.9345 0.7115  2 Ga 3.02, 2 In 3.11-3.23
Tb2 0.0000 0.4991 0.3178  1 Ga 3.03, 4 In 3.29-3.37
Tb3 0.5000 0.2082 0.4313  2 Ga 3.02, 2 In 3.11-3.23
Tb4 0.0000 0.6438 0.8252  1 Ga 3.03, 4 In 3.29-3.37
In1 0.5000 0.3676 0.9027  1 In 2.98, 4 Tb 3.11-3.29
In2 0.5000 0.7752 0.2403  1 In 2.98, 4 Tb 3.11-3.29
Ga1 0.0000 0.0715 0.0715  6 Tb 3.02-3.03

---

[6]
NbV2GeN | GGA-PBE | relaxed

Calculated values
Formation energy from raw total energies ... -0.524 eV/atom
Spin magnetization ... 0.000 μB/atom
Crystal system ... tetragonal

Cell lengths 3.9232, 3.9232, 4.3174 Å; angles 90.00, 90.00, 90.00 degrees
Closest atoms and distances in Å follow each position.
Positions (direct):
Nb1 0.0000 0.0000 0.5000  2 N 2.16
N1 0.0000 0.0000 0.0000  4 V 1.96, 2 Nb 2.16
Ge1 0.5000 0.5000 0.5000  4 Nb 2.77, 8 V 2.92
V1 0.0000 0.5000 0.0000  2 N 1.96
V2 0.5000 0.0000 0.0000  2 N 1.96

---

[7]
AsPdN2 | GGA-PBE | relaxed

Calculated values
Formation energy from raw total energies ... 0.751 eV/atom
Spin magnetization ... 0.250 μB/atom
Crystal system ... tetragonal

Cell lengths 4.9729, 4.9729, 5.4218 Å; angles 62.70, 62.70, 90.00 degrees
Closest atoms and distances in Å follow each position.
Positions (direct):
As1 0.5000 0.5000 0.0000  4 N 1.86
As2 0.2500 0.7500 0.5000  4 N 1.86
Pd1 0.0000 0.0000 0.0000  4 N 2.25
Pd2 0.7500 0.2500 0.5000  4 N 2.25
N1 0.5591 0.1250 0.2500  2 As 1.86
N2 0.1909 0.6250 0.2500  2 As 1.86
N3 0.3750 0.4409 0.7500  2 As 1.86
N4 0.8750 0.8091 0.7500  2 As 1.86

---

[8]
CsBiAs2Se | GGA-PBE | relaxed

Calculated values
Formation energy from raw total energies ... 1.440 eV/atom
Spin magnetization ... 0.000 μB/atom
Crystal system ... tetragonal
Relative energy among the computed polymorphs ... 1.207 eV per atom

Cell lengths 5.7605, 5.7605, 5.4489 Å; angles 90.00, 90.00, 90.00 degrees
Closest atoms and distances in Å follow each position.
Positions (direct):
Cs1 0.0000 0.0000 0.0000  2 Se 2.72, 4 As 2.88
As1 0.0000 0.5000 0.0000  2 Cs 2.88
As2 0.5000 0.0000 0.0000  2 Cs 2.88
Bi1 0.5000 0.5000 0.5000  8 As 3.96, 4 Se 4.07
Se1 0.0000 0.0000 0.5000  2 Cs 2.72

---

[9]
La3MgAg4 | GGA-PBE | relaxed

Calculated values
ΔE_f ... -0.227 eV/atom
Spin magnetization ... 0.006 μB/atom
Crystal system ... tetragonal

Cell lengths 3.6712, 3.6712, 15.2403 Å; angles 90.00, 90.00, 90.00 degrees
Closest atoms and distances in Å follow each position.
Positions (direct):
Mg1 0.5000 0.5000 0.0000  8 Ag 3.00
Ag1 0.0000 0.0000 0.9018  1 Ag 2.99, 4 Mg 3.00, 4 La 3.33
Ag2 0.0000 0.0000 0.0982  1 Ag 2.99, 4 Mg 3.00, 4 La 3.33
Ag3 0.0000 0.0000 0.3680  8 La 3.28-3.30, 4 Ag 3.67
Ag4 0.0000 0.0000 0.6320  8 La 3.28-3.30, 4 Ag 3.67
La1 0.5000 0.5000 0.2348  8 Ag 3.30-3.33, 1 Mg 3.58, 4 La 3.67
La2 0.5000 0.5000 0.5000  8 Ag 3.28, 4 La 3.67
La3 0.5000 0.5000 0.7652  8 Ag 3.30-3.33, 1 Mg 3.58, 4 La 3.67

---

[10]
OsAuN2 | GGA-PBE | relaxed

Calculated values
Formation energy from raw total energies ... 0.683 eV/atom
Spin magnetization ... 0.000 μB/atom
Crystal system ... trigonal
Relative energy among the computed polymorphs ... 0.000 eV per atom

Cell lengths 6.7662, 6.7662, 6.7662 Å; angles 25.14, 25.14, 25.14 degrees
Closest atoms and distances in Å follow each position.
Positions (direct):
Os1 0.5000 0.5000 0.5000  6 N 2.07
Au1 0.0000 0.0000 0.0000  2 N 2.09
N1 0.8937 0.8937 0.8937  3 Os 2.07, 1 Au 2.09
N2 0.1063 0.1063 0.1063  3 Os 2.07, 1 Au 2.09

---

[11]
FeAgOs2 | GGA-PBE | relaxed

Calculated values
ΔE_f ... 0.697 eV/atom
Spin magnetization ... 0.674 μB/atom
Crystal system ... tetragonal
Relative energy among the computed polymorphs ... 0.348 eV per atom

Cell lengths 3.9202, 3.8349, 3.8349 Å; angles 90.00, 90.00, 90.00 degrees
Closest atoms and distances in Å follow each position.
Positions (direct):
Ag1 0.5000 0.5000 0.0000  4 Fe 2.71, 8 Os 2.74
Fe1 0.5000 0.0000 0.5000  4 Ag 2.71, 8 Os 2.74
Os1 0.0000 0.0000 0.0000  4 Os 2.71, 4 Fe 2.74, 4 Ag 2.74
Os2 0.0000 0.5000 0.5000  4 Os 2.71, 4 Fe 2.74, 4 Ag 2.74

---

[12]
TiMo3Pd | GGA-PBE | relaxed

Calculated values
ΔE_f ... 1.423 eV/atom
Spin magnetization ... 0.000 μB/atom
Crystal system ... cubic
Relative energy among the computed polymorphs ... 0.000 eV per atom

Cell lengths 4.5154, 4.5154, 4.5154 Å; angles 90.00, 90.00, 90.00 degrees
Closest atoms and distances in Å follow each position.
Positions (direct):
Mo1 0.0000 0.5000 0.0000  2 Ti 2.26
Mo2 0.0000 0.0000 0.5000  2 Ti 2.26
Mo3 0.5000 0.0000 0.0000  2 Ti 2.26
Pd1 0.5000 0.5000 0.5000  12 Mo 3.19
Ti1 0.0000 0.0000 0.0000  6 Mo 2.26